w) Crystalline Si2PtAu2 at its relaxed geometry. Source: Alexandria via LeMat-Bulk, functional PBE.

a = 5.645 Å, b = 5.645 Å, c = 5.645 Å
α = 135.05°, β = 135.05°, γ = 65.45°
Element x y z (fractional)
Si 0.116 0.116 0.000
Si 0.884 0.884 0.000
Pt 0.500 0.500 0.000
Au 0.250 0.750 0.500
Au 0.750 0.250 0.500

## Properties
space-group type	I4/mmm
volume	17.69	A^3/atom

=====

x) Crystalline Si2PtAu2 at its relaxed geometry. Source: Alexandria via LeMat-Bulk, functional PBE.

a = 6.219 Å, b = 6.219 Å, c = 4.520 Å
α = 90.00°, β = 90.00°, γ = 90.00°
Element x y z (fractional)
Si 0.130 0.370 0.000
Si 0.370 0.870 0.000
Si 0.630 0.130 0.000
Si 0.870 0.630 0.000
Pt 0.000 0.000 0.000
Pt 0.500 0.500 0.000
Au 0.249 0.251 0.500
Au 0.251 0.751 0.500
Au 0.749 0.249 0.500
Au 0.751 0.749 0.500

## Properties
space-group type	P4/mbm
volume	17.48	A^3/atom

=====

x) is preferred energetically. Next in line: 0.416 eV/atom higher.

=====

w) Crystalline Si2Pt2Au at its relaxed geometry. Source: Alexandria via LeMat-Bulk, functional PBE.

a = 6.376 Å, b = 6.376 Å, c = 6.376 Å
α = 145.71°, β = 145.71°, γ = 49.28°
Element x y z (fractional)
Si 0.250 0.750 0.500
Si 0.750 0.250 0.500
Pt 0.121 0.121 0.000
Pt 0.879 0.879 0.000
Au 0.500 0.500 0.000

## Properties
space-group type	I4/mmm
volume	16.38	A^3/atom

=====

x) Crystalline Si2Pt2Au at its relaxed geometry. Source: Alexandria via LeMat-Bulk, functional PBE.

a = 7.226 Å, b = 7.226 Å, c = 3.014 Å
α = 90.00°, β = 90.00°, γ = 90.00°
Element x y z (fractional)
Si 0.156 0.344 0.000
Si 0.344 0.844 0.000
Si 0.656 0.156 0.000
Si 0.844 0.656 0.000
Pt 0.140 0.640 0.500
Pt 0.360 0.140 0.500
Pt 0.640 0.860 0.500
Pt 0.860 0.360 0.500
Au 0.000 0.000 0.500
Au 0.500 0.500 0.500

## Properties
space-group type	P4/mbm
volume	15.74	A^3/atom

=====

y) Crystalline Si2Pt2Au at its relaxed geometry. Source: Alexandria via LeMat-Bulk, functional PBE.

a = 5.577 Å, b = 5.577 Å, c = 5.577 Å
α = 135.58°, β = 135.58°, γ = 64.63°
Element x y z (fractional)
Si 0.120 0.120 0.000
Si 0.880 0.880 0.000
Pt 0.250 0.750 0.500
Pt 0.750 0.250 0.500
Au 0.500 0.500 0.000

## Properties
space-group type	I4/mmm
volume	16.76	A^3/atom

=====

w) is preferred energetically. Next in line: 0.097 eV/atom higher.

=====

w) Crystalline SiPt3Au at its relaxed geometry. Source: Alexandria via LeMat-Bulk, functional PBE.

a = 4.938 Å, b = 4.938 Å, c = 4.938 Å
α = 90.00°, β = 90.00°, γ = 90.00°
Element x y z (fractional)
Si 0.000 0.000 0.000
Pt 0.000 0.500 0.500
Pt 0.500 0.000 0.500
Pt 0.500 0.500 0.000
Au 0.500 0.500 0.500

## Properties
space-group type	Pm-3m
volume	24.09	A^3/atom

=====

x) Crystalline SiPt3Au at its relaxed geometry. Source: Alexandria via LeMat-Bulk, functional PBE.

a = 4.513 Å, b = 4.513 Å, c = 4.513 Å
α = 90.00°, β = 90.00°, γ = 90.00°
Element x y z (fractional)
Si 0.000 0.000 0.000
Pt 0.000 0.000 0.500
Pt 0.000 0.500 0.000
Pt 0.500 0.000 0.000
Au 0.500 0.500 0.500

## Properties
space-group type	Pm-3m
volume	18.38	A^3/atom

=====

x) is preferred energetically. Next in line: 1.333 eV/atom higher.

=====

w) Crystalline SiPt2Au2 at its relaxed geometry. Source: Alexandria via LeMat-Bulk, functional PBE.

a = 7.407 Å, b = 7.407 Å, c = 7.407 Å
α = 151.30°, β = 151.30°, γ = 41.03°
Element x y z (fractional)
Si 0.000 0.000 0.000
Pt 0.408 0.408 0.000
Pt 0.592 0.592 0.000
Au 0.250 0.750 0.500
Au 0.750 0.250 0.500

## Properties
space-group type	I4/mmm
volume	18.70	A^3/atom

=====

x) Crystalline SiPt2Au2 at its relaxed geometry. Source: Alexandria via LeMat-Bulk, functional PBE.

a = 6.252 Å, b = 6.252 Å, c = 4.450 Å
α = 90.00°, β = 90.00°, γ = 90.00°
Element x y z (fractional)
Si 0.000 0.000 0.000
Si 0.500 0.500 0.000
Pt 0.153 0.347 0.000
Pt 0.347 0.847 0.000
Pt 0.653 0.153 0.000
Pt 0.847 0.653 0.000
Au 0.160 0.660 0.500
Au 0.340 0.160 0.500
Au 0.660 0.840 0.500
Au 0.840 0.340 0.500

## Properties
space-group type	P4/mbm
volume	17.39	A^3/atom

=====

x) is preferred energetically. Next in line: 0.492 eV/atom higher.

=====

w) Crystalline Sm5PtAu2 at its relaxed geometry. Source: Alexandria via LeMat-Bulk, functional PBE.

a = 7.268 Å, b = 12.332 Å, c = 4.854 Å
α = 90.00°, β = 90.00°, γ = 90.00°
Element x y z (fractional)
Sm 0.000 0.000 0.000
Sm 0.157 0.289 0.000
Sm 0.177 0.588 0.500
Sm 0.323 0.088 0.500
Sm 0.343 0.789 0.000
Sm 0.500 0.500 0.000
Sm 0.657 0.211 0.000
Sm 0.677 0.912 0.500
Sm 0.823 0.412 0.500
Sm 0.843 0.711 0.000
Pt 0.000 0.500 0.000
Pt 0.500 0.000 0.000
Au 0.069 0.836 0.500
Au 0.431 0.336 0.500
Au 0.569 0.664 0.500
Au 0.931 0.164 0.500

## Properties
space-group type	Pbam
volume	27.19	A^3/atom

=====

x) Crystalline Sm5PtAu2 at its relaxed geometry. Source: Alexandria via LeMat-Bulk, functional PBE.

a = 6.326 Å, b = 6.326 Å, c = 14.895 Å
α = 90.00°, β = 90.00°, γ = 126.24°
Element x y z (fractional)
Sm 0.072 0.928 0.610
Sm 0.072 0.928 0.890
Sm 0.287 0.713 0.250
Sm 0.385 0.615 0.590
Sm 0.385 0.615 0.910
Sm 0.615 0.385 0.090
Sm 0.615 0.385 0.410
Sm 0.713 0.287 0.750
Sm 0.928 0.072 0.110
Sm 0.928 0.072 0.390
Pt 0.245 0.755 0.750
Pt 0.755 0.245 0.250
Au 0.206 0.794 0.060
Au 0.206 0.794 0.440
Au 0.794 0.206 0.560
Au 0.794 0.206 0.940

## Properties
space-group type	Cmcm
volume	30.04	A^3/atom

=====

w) is preferred energetically. Next in line: 0.183 eV/atom higher.

=====

w) Crystalline Sm3Pt2Au at its relaxed geometry. Source: Alexandria via LeMat-Bulk, functional PBE.

a = 8.029 Å, b = 8.029 Å, c = 3.600 Å
α = 90.00°, β = 90.00°, γ = 142.87°
Element x y z (fractional)
Sm 0.000 0.000 0.000
Sm 0.328 0.672 0.000
Sm 0.672 0.328 0.000
Pt 0.164 0.836 0.500
Pt 0.836 0.164 0.500
Au 0.500 0.500 0.500

## Properties
space-group type	Cmmm
volume	23.35	A^3/atom

=====

x) Crystalline Sm3Pt2Au at its relaxed geometry. Source: Alexandria via LeMat-Bulk, functional PBE.

a = 7.312 Å, b = 7.312 Å, c = 8.317 Å
α = 106.52°, β = 106.52°, γ = 47.98°
Element x y z (fractional)
Sm 0.006 0.994 0.750
Sm 0.320 0.323 0.911
Sm 0.323 0.320 0.411
Sm 0.677 0.680 0.589
Sm 0.680 0.677 0.089
Sm 0.994 0.006 0.250
Pt 0.161 0.164 0.581
Pt 0.164 0.161 0.081
Pt 0.836 0.839 0.919
Pt 0.839 0.836 0.419
Au 0.495 0.505 0.250
Au 0.505 0.495 0.750

## Properties
space-group type	C2/c
volume	26.16	A^3/atom

=====

w) is preferred energetically. Next in line: 0.024 eV/atom higher.

=====

w) Crystalline TbSmPtAu at its relaxed geometry. Source: Alexandria via LeMat-Bulk, functional PBE.

a = 5.079 Å, b = 5.079 Å, c = 5.079 Å
α = 60.00°, β = 60.00°, γ = 60.00°
Element x y z (fractional)
Tb 0.000 0.000 0.000
Sm 0.500 0.500 0.500
Pt 0.250 0.250 0.250
Au 0.750 0.750 0.750

## Properties
space-group type	F-43m
volume	23.16	A^3/atom

=====

x) Crystalline TbSmPtAu at its relaxed geometry. Source: Alexandria via LeMat-Bulk, functional PBE.

a = 4.639 Å, b = 5.730 Å, c = 5.730 Å
α = 39.12°, β = 90.00°, γ = 90.00°
Element x y z (fractional)
Tb 0.000 0.000 0.000
Sm 0.500 0.724 0.724
Pt 0.500 0.452 0.452
Au 0.000 0.277 0.277

## Properties
space-group type	Amm2
volume	24.03	A^3/atom

=====

x) is preferred energetically. Next in line: 0.059 eV/atom higher.

=====

w) Crystalline SmThPtAu at its relaxed geometry. Source: Alexandria via LeMat-Bulk, functional PBE.

a = 5.159 Å, b = 5.159 Å, c = 5.159 Å
α = 60.00°, β = 60.00°, γ = 60.00°
Element x y z (fractional)
Sm 0.000 0.000 0.000
Th 0.500 0.500 0.500
Pt 0.750 0.750 0.750
Au 0.250 0.250 0.250

## Properties
space-group type	F-43m
volume	24.27	A^3/atom

=====

x) Crystalline SmThPtAu at its relaxed geometry. Source: Alexandria via LeMat-Bulk, functional PBE.

a = 4.480 Å, b = 6.059 Å, c = 6.059 Å
α = 37.68°, β = 90.00°, γ = 90.00°
Element x y z (fractional)
Sm 0.000 0.000 0.000
Th 0.500 0.274 0.274
Pt 0.000 0.740 0.740
Au 0.500 0.555 0.555

## Properties
space-group type	Amm2
volume	25.14	A^3/atom

=====

x) is preferred energetically. Next in line: 0.155 eV/atom higher.

=====

w) Crystalline SnPtAu at its relaxed geometry. Source: Alexandria via LeMat-Bulk, functional PBE.

a = 4.994 Å, b = 4.994 Å, c = 4.994 Å
α = 137.38°, β = 137.38°, γ = 61.85°
Element x y z (fractional)
Sn 0.000 0.000 0.000
Pt 0.338 0.338 0.000
Au 0.673 0.673 0.000

## Properties
space-group type	I4mm
volume	18.82	A^3/atom

=====

x) Crystalline SnPtAu at its relaxed geometry. Source: Alexandria via LeMat-Bulk, functional PBE.

a = 4.109 Å, b = 4.109 Å, c = 8.859 Å
α = 96.19°, β = 96.19°, γ = 67.01°
Element x y z (fractional)
Sn 0.042 0.042 0.169
Sn 0.958 0.958 0.831
Pt 0.415 0.415 0.285
Pt 0.585 0.585 0.715
Au 0.199 0.199 0.571
Au 0.801 0.801 0.429

## Properties
space-group type	C2/m
volume	22.76	A^3/atom

=====

y) Crystalline SnPtAu at its relaxed geometry. Source: Alexandria via LeMat-Bulk, functional PBE.

a = 4.649 Å, b = 4.649 Å, c = 3.064 Å
α = 90.00°, β = 90.00°, γ = 120.00°
Element x y z (fractional)
Sn 0.000 0.000 0.000
Pt 0.667 0.333 0.007
Au 0.333 0.667 0.504

## Properties
space-group type	P3m1
volume	19.12	A^3/atom

=====

z) Crystalline SnPtAu at its relaxed geometry. Source: Alexandria via LeMat-Bulk, functional PBE.

a = 4.493 Å, b = 4.493 Å, c = 4.493 Å
α = 60.00°, β = 60.00°, γ = 60.00°
Element x y z (fractional)
Sn 0.000 0.000 0.000
Pt 0.250 0.250 0.250
Au 0.500 0.500 0.500

## Properties
space-group type	F-43m
volume	21.37	A^3/atom

=====

z) is preferred energetically. Next in line: 0.072 eV/atom higher.

=====

w) Crystalline Sn4PtAu at its relaxed geometry. Source: Alexandria via LeMat-Bulk, functional PBE.

a = 4.703 Å, b = 4.703 Å, c = 6.742 Å
α = 90.00°, β = 90.00°, γ = 90.00°
Element x y z (fractional)
Sn 0.000 0.500 0.241
Sn 0.000 0.500 0.759
Sn 0.500 0.000 0.241
Sn 0.500 0.000 0.759
Pt 0.000 0.000 0.000
Au 0.500 0.500 0.500

## Properties
space-group type	P4/mmm
volume	24.86	A^3/atom

=====

x) Crystalline Sn4PtAu at its relaxed geometry. Source: Alexandria via LeMat-Bulk, functional PBE.

a = 6.352 Å, b = 6.848 Å, c = 6.862 Å
α = 90.00°, β = 92.82°, γ = 90.00°
Element x y z (fractional)
Sn 0.098 0.141 0.144
Sn 0.098 0.359 0.644
Sn 0.381 0.632 0.123
Sn 0.381 0.868 0.623
Sn 0.619 0.132 0.377
Sn 0.619 0.368 0.877
Sn 0.902 0.641 0.356
Sn 0.902 0.859 0.856
Pt 0.000 0.000 0.500
Pt 0.000 0.500 0.000
Au 0.500 0.000 0.000
Au 0.500 0.500 0.500

## Properties
space-group type	P2_1/c
volume	24.85	A^3/atom

=====

w) is preferred energetically. Next in line: 0.032 eV/atom higher.